La2H12PdRh3 | PBE-GGA | optimized geometry

Values from the calculation:
total energy	-4.6142	eV per atom
N(E_F)	5.32	states/eV/cell
total moment	0.001	μB per cell
space group	R-3m, No. 166

abc: 6.181 6.181 6.181
angles: 60.27 60.27 60.27
Sites, in units of the cell vectors:
La: 0.119 0.119 0.119
La: 0.881 0.881 0.881
H: 0.140 0.601 0.601
H: 0.167 0.167 0.626
H: 0.167 0.626 0.167
H: 0.374 0.833 0.833
H: 0.399 0.399 0.860
H: 0.399 0.860 0.399
H: 0.601 0.140 0.601
H: 0.601 0.601 0.140
H: 0.626 0.167 0.167
H: 0.833 0.374 0.833
H: 0.833 0.833 0.374
H: 0.860 0.399 0.399
Pd: 0.500 0.500 0.500
Rh: 0.000 0.500 0.500
Rh: 0.500 0.000 0.500
Rh: 0.500 0.500 0.000


TaCdP | PBE-GGA | optimized geometry

Values from the calculation:
DFT formation energy	-0.1135	eV/atom
N(E_F)	1.61	states/eV/cell
total moment	0.000	μB per cell
space group	I4mm, No. 107

abc: 5.685 5.685 5.685
angles: 146.61 146.61 47.94
Sites, in units of the cell vectors:
Ta: 0.000 0.000 0.000
Cd: 0.298 0.298 0.000
P: 0.594 0.594 0.000


La3Pm8 | PBE-GGA | optimized geometry

Values from the calculation:
DFT formation energy	0.0208	eV/atom
N(E_F)	19.77	states/eV/cell
total moment	0.000	μB per cell
space group	C2/m, No. 12

abc: 6.390 6.390 13.279
angles: 103.75 103.75 47.90
Sites, in units of the cell vectors:
La: 0.000 0.000 0.000
La: 0.090 0.090 0.637
La: 0.910 0.910 0.363
Pm: 0.181 0.181 0.273
Pm: 0.273 0.273 0.909
Pm: 0.363 0.363 0.545
Pm: 0.454 0.454 0.181
Pm: 0.546 0.546 0.819
Pm: 0.637 0.637 0.455
Pm: 0.727 0.727 0.091
Pm: 0.819 0.819 0.727


CuGeAs2Ir | PBE-GGA | optimized geometry

Values from the calculation:
DFT formation energy	0.6134	eV/atom
N(E_F)	2.91	states/eV/cell
total moment	0.000	μB per cell
space group	P4/mmm, No. 123

abc: 4.727 4.727 4.847
angles: 90.00 90.00 90.00
Sites, in units of the cell vectors:
Cu: 0.000 0.000 0.000
Ge: 0.500 0.500 0.000
As: 0.000 0.500 0.500
As: 0.500 0.000 0.500
Ir: 0.000 0.000 0.500


Rb2HgSeI6 | PBE-GGA | optimized geometry

Values from the calculation:
N(E_F)	0.00	states/eV/cell
total moment	0.000	μB per cell
formation energy from raw total energies	-647	meV per atom
space group	I4/mmm, No. 139

abc: 8.641 8.641 8.641
angles: 119.57 119.57 90.75
Sites, in units of the cell vectors:
Rb: 0.250 0.750 0.500
Rb: 0.750 0.250 0.500
Hg: 0.000 0.000 0.000
Se: 0.500 0.500 0.000
I: 0.224 0.224 0.000
I: 0.271 0.271 0.542
I: 0.271 0.729 0.000
I: 0.729 0.271 0.000
I: 0.729 0.729 0.458
I: 0.776 0.776 0.000


RbBi | PBE-GGA | optimized geometry

Values from the calculation:
DFT formation energy	-0.2728	eV/atom
N(E_F)	2.54	states/eV/cell
total moment	0.000	μB per cell
space group	Fddd, No. 70

abc: 10.839 9.876 6.553
angles: 79.77 63.72 36.51
Sites, in units of the cell vectors:
Rb: 0.038 0.712 0.038
Rb: 0.288 0.962 0.288
Rb: 0.712 0.038 0.712
Rb: 0.962 0.288 0.962
Bi: 0.294 0.294 0.456
Bi: 0.456 0.456 0.294
Bi: 0.544 0.544 0.706
Bi: 0.706 0.706 0.544


Number 1: calculated density 7.0 g/cm3. Number 2: calculated density 9.7 g/cm3. Number 3: calculated density 6.7 g/cm3. Number 4: calculated density 7.3 g/cm3. Number 5: calculated density 4.4 g/cm3. Number 6: calculated density 5.5 g/cm3.